Record 1
Crystalline MgZrFe2 at its relaxed geometry. Source: Alexandria, functional PBE-GGA.

Structure (CIF):
```
data_MgZrFe2
_cell_length_a 3.4460
_cell_length_b 4.0055
_cell_length_c 9.7470
_cell_angle_alpha 90.00
_cell_angle_beta 90.00
_cell_angle_gamma 90.00
_space_group_name_H-M_alt 'A m m 2'
_space_group_IT_number 38
loop_
_space_group_symop_operation_xyz
'x,y,z'
'-x,-y,z'
'-x,y,z'
'x,-y,z'
'x,y+1/2,z+1/2'
'-x,-y+1/2,z+1/2'
'-x,y+1/2,z+1/2'
'x,-y+1/2,z+1/2'
loop_
_atom_site_label
_atom_site_type_symbol
_atom_site_fract_x
_atom_site_fract_y
_atom_site_fract_z
_atom_site_occupancy
Mg1 Mg 0.0000 0.0000 0.0000 1
Zr1 Zr 0.5000 0.0000 0.2872 1
Fe1 Fe 0.0000 0.0000 0.7192 1
Fe2 Fe 0.5000 0.0000 0.5771 1
```

## Properties
- formation energy from the elements (eV/atom) = 0.108
- DFT total energy (eV/atom) = -6.66
- density (kg/m³) = 5609

***

Record 2
Crystalline Mo2RhC at its relaxed geometry. Source: Alexandria, functional PBE-GGA.

Structure (CIF):
```
data_Mo2RhC
_cell_length_a 3.0212
_cell_length_b 3.0212
_cell_length_c 20.2030
_cell_angle_alpha 90.00
_cell_angle_beta 90.00
_cell_angle_gamma 120.00
_space_group_name_H-M_alt 'R -3 m'
_space_group_IT_number 166
_space_group_name_Hall '-R 3 2"'
loop_
_atom_site_label
_atom_site_type_symbol
_atom_site_fract_x
_atom_site_fract_y
_atom_site_fract_z
_atom_site_occupancy
Mo1 Mo 0.0000 0.0000 0.2242 1
Rh1 Rh 0.0000 0.0000 0.0000 1
C1 C 0.0000 0.0000 0.5000 1
```

## Properties
- formation energy from the elements (eV/atom) = 0.000
- DFT total energy (eV/atom) = -9.56
- density (kg/m³) = 9570

***

Record 3
Crystalline BaZrBe at its relaxed geometry. Source: Alexandria, functional PBE-GGA.

Structure (CIF):
```
data_BaZrBe
_cell_length_a 6.9741
_cell_length_b 6.9741
_cell_length_c 6.9741
_cell_angle_alpha 90.00
_cell_angle_beta 90.00
_cell_angle_gamma 90.00
_space_group_name_H-M_alt 'F -4 3 m'
_space_group_IT_number 216
_space_group_name_Hall 'F -4 2 3'
loop_
_atom_site_label
_atom_site_type_symbol
_atom_site_fract_x
_atom_site_fract_y
_atom_site_fract_z
_atom_site_occupancy
Ba1 Ba 0.0000 0.0000 0.0000 1
Zr1 Zr 0.0000 0.0000 0.5000 1
Be1 Be 0.2500 0.2500 0.7500 1
```

## Properties
- formation energy from the elements (eV/atom) = 0.993
- DFT total energy (eV/atom) = -3.74
- density (kg/m³) = 4652
- E above lowest polymorph (eV per formula unit) = 1.62

***

Record 4
Crystalline Tb5Er7Tm at its relaxed geometry. Source: Alexandria, functional PBE-GGA.

Structure (CIF):
```
data_Tb5Er7Tm
_cell_length_a 6.6235
_cell_length_b 11.0254
_cell_length_c 11.4272
_cell_angle_alpha 90.00
_cell_angle_beta 90.00
_cell_angle_gamma 90.00
_space_group_name_H-M_alt 'I m m 2'
_space_group_IT_number 44
loop_
_space_group_symop_operation_xyz
'x,y,z'
'-x,-y,z'
'-x,y,z'
'x,-y,z'
'x+1/2,y+1/2,z+1/2'
'-x+1/2,-y+1/2,z+1/2'
'-x+1/2,y+1/2,z+1/2'
'x+1/2,-y+1/2,z+1/2'
loop_
_atom_site_label
_atom_site_type_symbol
_atom_site_fract_x
_atom_site_fract_y
_atom_site_fract_z
_atom_site_occupancy
Tb1 Tb 0.0000 0.0000 0.0000 1
Tb2 Tb 0.2304 0.2747 0.5014 1
Er1 Er 0.0000 0.0000 0.5005 1
Er2 Er 0.0000 0.1698 0.2517 1
Er3 Er 0.0000 0.1703 0.7501 1
Er4 Er 0.0000 0.5000 0.0007 1
Er5 Er 0.0000 0.5000 0.3067 1
Tm1 Tm 0.0000 0.5000 0.6945 1
```

## Properties
- formation energy from the elements (eV/atom) = 0.267
- DFT total energy (eV/atom) = -4.31
- density (kg/m³) = 8494

***

Repeat the second record exactly.
Crystalline Mo2RhC at its relaxed geometry. Source: Alexandria, functional PBE-GGA.

Structure (CIF):
```
data_Mo2RhC
_cell_length_a 3.0212
_cell_length_b 3.0212
_cell_length_c 20.2030
_cell_angle_alpha 90.00
_cell_angle_beta 90.00
_cell_angle_gamma 120.00
_space_group_name_H-M_alt 'R -3 m'
_space_group_IT_number 166
_space_group_name_Hall '-R 3 2"'
loop_
_atom_site_label
_atom_site_type_symbol
_atom_site_fract_x
_atom_site_fract_y
_atom_site_fract_z
_atom_site_occupancy
Mo1 Mo 0.0000 0.0000 0.2242 1
Rh1 Rh 0.0000 0.0000 0.0000 1
C1 C 0.0000 0.0000 0.5000 1
```

## Properties
- formation energy from the elements (eV/atom) = 0.000
- DFT total energy (eV/atom) = -9.56
- density (kg/m³) = 9570

***

What is the DFT total energy in the first record?
-6.66 eV/atom